Below is crystalline NaVPb2F8 at its relaxed geometry, with properties calculated at the PBE with a Hubbard U level.

Summary:
* N(E_F): 0.000 states/eV/atom
* E: -5.1993 eV per atom
* space group: No. 2
* V: 16.90 Å³ per atom
* total magnetic moment: 2.000 μB per formula unit

Cell: 5.376 5.044 7.482 Å, 90.26 88.94 91.11°
Element x y z (fractional)
Pb 0.515 0.551 0.247
Pb 0.485 0.449 0.753
F 0.303 0.307 0.471
F 0.756 0.710 0.958
F 0.766 0.150 0.183
F 0.234 0.850 0.817
F 0.132 0.813 0.213
F 0.697 0.693 0.529
F 0.244 0.290 0.042
F 0.868 0.187 0.787
V 0.000 0.000 0.000
Na 0.000 0.000 0.500